{"formula": "RbHg2Pb4", "functional": "PBE-GGA", "state": "optimized geometry", "lattice": [[4.996, 0.000, 0.000], [0.000, 5.286, 0.000], [0.000, -2.643, 9.192]], "species": ["Pb", "Pb", "Pb", "Pb", "Hg", "Hg", "Rb"], "fractional_positions": [[0.000, 0.308, 0.617], [0.000, 0.692, 0.383], [0.500, 0.811, 0.622], [0.500, 0.189, 0.378], [0.500, 0.420, 0.840], [0.500, 0.580, 0.160], [0.000, 0.000, 0.000]], "formation_enthalpy_0k_ev_per_atom": -0.086, "rho_g_cm3": 9.00, "sg": "Cmmm, No. 65", "total_energy_ev_per_cell": -17.01, "total_magnetization_mub_per_cell": 0.000}